# NaV2RhO8

An optimized crystal structure of NaV2RhO8 (GGA+U, the Alexandria database).

Geometry as CIF:
```
data_NaV2RhO8
_chemical_formula_sum 'Na1 V2 Rh1 O8'
_symmetry_space_group_name_H-M 'P -3 m 1'
_symmetry_Int_Tables_number 164
_symmetry_space_group_name_Hall '-P 3 2"'
_cell_length_a 5.6218
_cell_length_b 5.6218
_cell_length_c 6.4772
_cell_angle_alpha 90.00
_cell_angle_beta 90.00
_cell_angle_gamma 120.00
loop_
_atom_site_label
_atom_site_fract_x
_atom_site_fract_y
_atom_site_fract_z
Na1 0.0000 0.0000 0.0000
V1 0.3333 0.6667 0.2380
Rh1 0.0000 0.0000 0.5000
O1 0.1596 0.3193 0.3190
O2 0.3333 0.6667 0.9828
```

---

# NaRh2WO8

An optimized crystal structure of NaRh2WO8 (GGA+U, the Alexandria database).

Geometry as CIF:
```
data_NaRh2WO8
_chemical_formula_sum 'Na2 Rh4 W2 O16'
_symmetry_space_group_name_H-M 'C m m m'
_symmetry_Int_Tables_number 65
_symmetry_space_group_name_Hall '-C 2 2'
_cell_length_a 6.6153
_cell_length_b 6.7742
_cell_length_c 6.2731
_cell_angle_alpha 90.00
_cell_angle_beta 90.00
_cell_angle_gamma 90.00
loop_
_atom_site_label
_atom_site_fract_x
_atom_site_fract_y
_atom_site_fract_z
Na1 0.0000 0.0000 0.0000
Rh1 0.0000 0.5000 0.2473
W1 0.0000 0.0000 0.5000
O1 0.0000 0.3023 0.5000
O2 0.0000 0.3276 0.0000
O3 0.2022 0.0000 0.2820
```

---

How do the records compare in uncorrected energy? In the order shown, they have -79.87; -153.78 eV/cell.
How do the records compare in calculated volume? In the order shown, they have 14.773; 11.713 Å³/atom.